A plane-wave DFT calculation with GGA+U was carried out for NaScNiF6 after structural relaxation.

Geometry as extended XYZ:
```
18
Lattice="-4.760 2.250 1.158 0.555 -5.360 0.147 2.542 0.522 9.432" Properties=species:S:1:pos:R:3 pbc="T T T"
Na 0.000 0.000 0.000
Na 1.271 0.261 4.716
Sc -0.581 -2.693 2.842
Sc -1.081 0.105 7.895
Ni -2.353 -0.156 3.179
Ni 0.690 -2.432 7.558
F -2.337 -1.912 2.150
F -4.200 0.391 2.525
F 0.466 -4.210 6.595
F 2.538 -2.979 8.212
F -0.602 -0.929 3.872
F -3.483 -0.989 4.652
F -0.299 -3.467 9.004
F -2.129 1.622 4.142
F 1.821 -1.599 6.085
F -1.364 0.879 1.733
F -1.060 -1.659 6.865
F 0.675 -0.676 8.587
```

Summary:
The calculation puts the electronic total energy at -5.48 eV/atom.